DFT (PBE-GGA) results for an optimized crystal structure of NaIn2Hg6Pb.

## Properties
- total magnetic moment (μB per atom) = 0.000
- density (Mg/m³) = 9.9
- crystal system = triclinic
- space-group type = No. 1
- energy of formation from the pure elements (eV/atom) = -0.03

Cell: 8.6003 8.5886 7.7928 Å, 59.83 59.66 34.60°
Last column: nearest neighbours and their distance in Å.
Fractional positions:
Na 0.3208 0.3215 0.1043  6 Hg 3.09-3.28, 1 In 3.43
In 0.4791 0.4718 0.5898  6 Hg 3.02-3.36
In 0.0141 0.0140 0.9096  6 Hg 3.05-3.25, 1 Pb 3.36
Hg 0.4828 0.4867 0.1921  3 In 3.02-3.24, 1 Na 3.10, 3 Hg 3.16-3.32, 2 Pb 3.20-3.21
Hg 0.0934 0.0923 0.2598  5 Hg 3.05-3.32, 1 Na 3.27, 1 In 3.39
Hg 0.6958 0.6970 0.2519  4 Hg 3.05-3.19, 2 Na 3.09, 1 In 3.16, 1 Pb 3.36
Hg 0.6296 0.6276 0.7189  3 In 3.05-3.16, 1 Pb 3.14, 4 Hg 3.16-3.28
Hg 0.8603 0.8563 0.8084  3 In 3.05-3.11, 3 Hg 3.05-3.35, 1 Pb 3.17, 2 Na 3.28
Hg 0.2372 0.2400 0.7711  2 In 3.25-3.36, 5 Hg 3.26-3.35, 1 Na 3.51, 2 Pb 3.51-3.54
Pb 0.8485 0.8545 0.4092  7 Hg 3.14-3.51, 1 In 3.36

***

DFT (PBE-GGA) results for an optimized crystal structure of NaInHg3Pb.

## Properties
- total magnetic moment (μB per atom) = 0.000
- density (Mg/m³) = 9.7
- crystal system = monoclinic
- space-group type = No. 11
- energy of formation from the pure elements (eV/atom) = -0.09

Cell: 4.9100 7.3330 9.4497 Å, 108.49 90.00 90.00°
Last column: nearest neighbours and their distance in Å.
Fractional positions:
Na 0.7500 0.8015 0.7102  8 Hg 3.16-3.40, 1 In 3.46
Na 0.2500 0.1985 0.2898  8 Hg 3.16-3.40, 1 In 3.46
In 0.2500 0.0997 0.6245  5 Hg 2.98-3.23
In 0.7500 0.9003 0.3755  5 Hg 2.98-3.23
Hg 0.2500 0.6672 0.4591  3 In 3.06-3.23, 3 Hg 3.09-3.21, 3 Na 3.30-3.34, 1 Pb 3.42
Hg 0.7500 0.9889 0.0885  1 In 2.98, 3 Hg 3.00-3.26, 2 Na 3.19
Hg 0.7500 0.4523 0.2551  4 Hg 3.09-3.26, 1 In 3.12, 2 Na 3.16, 1 Pb 3.16
Hg 0.7500 0.3328 0.5409  3 In 3.06-3.23, 3 Hg 3.09-3.21, 3 Na 3.30-3.34, 1 Pb 3.42
Hg 0.2500 0.5477 0.7449  4 Hg 3.09-3.26, 1 In 3.12, 2 Na 3.16, 1 Pb 3.16
Hg 0.2500 0.0111 0.9115  1 In 2.98, 3 Hg 3.00-3.26, 2 Na 3.19
Pb 0.2500 0.6670 0.0975  7 Hg 3.16-3.50, 2 Pb 3.54
Pb 0.7500 0.3330 0.9025  7 Hg 3.16-3.50, 2 Pb 3.54

***

DFT (PBE-GGA) results for an optimized crystal structure of Na2InHg4Pb2.

## Properties
- total magnetic moment (μB per atom) = 0.000
- density (Mg/m³) = 9.0
- crystal system = tetragonal
- space-group type = No. 139
- energy of formation from the pure elements (eV/atom) = 0.02

Cell: 7.1124 7.1124 7.1124 Å, 90.14 119.92 119.92°
Last column: nearest neighbours and their distance in Å.
Fractional positions:
Na 0.0000 0.7098 0.7098  1 In 2.92, 4 Hg 3.05
Na 0.0000 0.2902 0.2902  1 In 2.92, 4 Hg 3.05
In 0.0000 0.0000 0.0000  4 Hg 2.84, 2 Na 2.92
Hg 0.0000 0.7182 0.2818  1 In 2.84, 2 Na 3.05, 2 Hg 3.11
Hg 0.4365 0.7182 0.7182  1 In 2.84, 2 Na 3.05, 2 Hg 3.11
Hg 0.0000 0.2818 0.7182  1 In 2.84, 2 Na 3.05, 2 Hg 3.11
Hg 0.5635 0.2818 0.2818  1 In 2.84, 2 Na 3.05, 2 Hg 3.11
Pb 0.5000 0.7500 0.2500  8 Hg 3.57, 4 Na 3.58
Pb 0.5000 0.2500 0.7500  8 Hg 3.57, 4 Na 3.58

***

DFT (PBE-GGA) results for an optimized crystal structure of NaIn2Hg2Pb2.

## Properties
- total magnetic moment (μB per atom) = 0.000
- density (Mg/m³) = 9.0
- crystal system = trigonal
- space-group type = No. 166
- energy of formation from the pure elements (eV/atom) = -0.08

Cell: 5.2146 5.2146 8.9000 Å, 72.97 72.97 60.00°
Last column: nearest neighbours and their distance in Å.
Fractional positions:
Na 0.0000 0.0000 0.0000  2 Pb 3.36, 6 Hg 3.36, 6 In 3.49
In 0.7366 0.7366 0.7902  4 Hg 3.02-3.25, 1 Pb 3.26
In 0.2634 0.2634 0.2098  4 Hg 3.02-3.25, 1 Pb 3.26
Hg 0.6072 0.6072 0.1785  4 In 3.02-3.25, 3 Na 3.36
Hg 0.3928 0.3928 0.8215  4 In 3.02-3.25, 3 Na 3.36
Pb 0.1337 0.1337 0.5990  4 In 3.26-3.41, 1 Na 3.36, 3 Pb 3.44, 3 Hg 3.54
Pb 0.8663 0.8663 0.4010  4 In 3.26-3.41, 1 Na 3.36, 3 Pb 3.44, 3 Hg 3.54

***

DFT (PBE-GGA) results for an optimized crystal structure of Na2In2Hg4Pb.

## Properties
- total magnetic moment (μB per atom) = 0.000
- density (Mg/m³) = 7.9
- crystal system = tetragonal
- space-group type = No. 139
- energy of formation from the pure elements (eV/atom) = 0.03

Cell: 7.2957 7.2957 7.2957 Å, 88.44 120.91 120.91°
Last column: nearest neighbours and their distance in Å.
Fractional positions:
Na 0.0000 0.7130 0.7130  1 Pb 3.00, 4 Hg 3.11
Na 0.0000 0.2870 0.2870  1 Pb 3.00, 4 Hg 3.11
In 0.5000 0.7500 0.2500  4 Na 3.62, 8 Hg 3.67
In 0.5000 0.2500 0.7500  4 Na 3.62, 8 Hg 3.67
Hg 0.0000 0.7127 0.2873  1 Pb 2.92, 2 Hg 3.06, 2 Na 3.11
Hg 0.4253 0.7127 0.7127  1 Pb 2.92, 2 Hg 3.06, 2 Na 3.11
Hg 0.0000 0.2873 0.7127  1 Pb 2.92, 2 Hg 3.06, 2 Na 3.11
Hg 0.5747 0.2873 0.2873  1 Pb 2.92, 2 Hg 3.06, 2 Na 3.11
Pb 0.0000 0.0000 0.0000  4 Hg 2.92, 2 Na 3.00

***

DFT (PBE-GGA) results for an optimized crystal structure of NaIn3Hg4Pb2.

## Properties
- total magnetic moment (μB per atom) = 0.000
- density (Mg/m³) = 9.4
- crystal system = tetragonal
- space-group type = No. 115
- energy of formation from the pure elements (eV/atom) = 0.04

Cell: 4.4237 4.4237 14.3327 Å, 90.00 90.00 90.00°
Last column: nearest neighbours and their distance in Å.
Fractional positions:
Na 0.5000 0.5000 0.5000  4 Hg 3.03, 4 In 3.13
In 0.0000 0.0000 0.5000  4 Hg 3.03, 4 Na 3.13
In 0.5000 0.0000 0.8482  5 Hg 2.93-3.10
In 0.0000 0.5000 0.1518  5 Hg 2.93-3.10
Hg 0.5000 0.5000 0.0000  4 In 3.10, 4 Hg 3.13
Hg 0.0000 0.0000 0.0000  4 In 3.10, 4 Hg 3.13
Hg 0.5000 0.0000 0.6441  3 In 2.93-3.03, 2 Na 3.03
Hg 0.0000 0.5000 0.3559  3 In 2.93-3.03, 2 Na 3.03
Pb 0.5000 0.0000 0.2667  4 Hg 3.38, 4 In 3.54
Pb 0.0000 0.5000 0.7333  4 Hg 3.38, 4 In 3.54

***

DFT (PBE-GGA) results for an optimized crystal structure of NaIn4Hg3Pb2.

## Properties
- total magnetic moment (μB per atom) = 0.000
- density (Mg/m³) = 8.7
- crystal system = tetragonal
- space-group type = No. 115
- energy of formation from the pure elements (eV/atom) = 0.04

Cell: 4.3684 4.3684 14.9047 Å, 90.00 90.00 90.00°
Last column: nearest neighbours and their distance in Å.
Fractional positions:
Na 0.5000 0.5000 0.5000  4 Hg 3.09, 4 In 3.18
In 0.5000 0.5000 0.0000  4 In 3.09, 4 Hg 3.12
In 0.0000 0.0000 0.0000  4 In 3.09, 4 Hg 3.12
In 0.5000 0.0000 0.6552  3 Hg 2.92-3.18, 2 Na 3.18
In 0.0000 0.5000 0.3448  3 Hg 2.92-3.18, 2 Na 3.18
Hg 0.0000 0.0000 0.5000  4 Na 3.09, 4 In 3.18
Hg 0.5000 0.0000 0.8509  5 In 2.92-3.12
Hg 0.0000 0.5000 0.1491  5 In 2.92-3.12
Pb 0.5000 0.0000 0.2497  4 In 3.40, 4 Hg 3.43
Pb 0.0000 0.5000 0.7503  4 In 3.40, 4 Hg 3.43

***

DFT (PBE-GGA) results for an optimized crystal structure of NaInHg2Pb.

## Properties
- total magnetic moment (μB per atom) = 0.000
- density (Mg/m³) = 7.3
- crystal system = tetragonal
- space-group type = No. 123
- energy of formation from the pure elements (eV/atom) = 0.34

Cell: 5.3867 5.8706 5.3867 Å, 90.00 90.00 90.00°
Last column: nearest neighbours and their distance in Å.
Fractional positions:
Pb 0.0000 0.5000 0.0000  2 Na 2.94
Na 0.0000 0.0000 0.0000  4 Hg 2.69, 2 Pb 2.94
Hg 0.0000 0.0000 0.5000  2 Na 2.69
Hg 0.5000 0.0000 0.0000  2 Na 2.69
In 0.5000 0.5000 0.5000  4 Pb 3.81, 8 Hg 3.98